Here is CuSb2Pb after structural relaxation from the Alexandria database. Energies are from GGA-PBE.

abc: 6.585 9.551 3.321
angles: 90.00 103.04 90.00
Space group C2/m (No. 12)
Unique sites:
Cu: 0.000 0.000 0.000 (multiplicity 2)
Sb: 0.250 0.250 0.500 (multiplicity 4)
Pb: 0.000 0.500 0.000 (multiplicity 2)

Calculated values
E in eV/atom: -3.655
N(E_F) in states/eV per cell: 3.2
Total moment in μB/f.u.: 0.0

---

Here is CuSbPb2 after structural relaxation from the Alexandria database. Energies are from GGA-PBE.

abc: 7.503 7.503 7.503
angles: 90.00 90.00 90.00
Space group F-43m (No. 216)
Unique sites:
Cu: 0.000 0.000 0.000 (multiplicity 4)
Sb: 0.250 0.250 0.250 (multiplicity 4)
Pb: 0.000 0.000 0.500 (multiplicity 4)
Pb: 0.250 0.250 0.750 (multiplicity 4)

Calculated values
E in eV/atom: -3.560
N(E_F) in states/eV per cell: 14.0
Total moment in μB/f.u.: 0.0

---

Here is Cu3SbPb after structural relaxation from the Alexandria database. Energies are from GGA-PBE.

abc: 4.892 4.892 4.892
angles: 90.00 90.00 90.00
Space group Pm-3m (No. 221)
Unique sites:
Cu: 0.000 0.000 0.500 (multiplicity 3)
Sb: 0.000 0.000 0.000 (multiplicity 1)
Pb: 0.500 0.500 0.500 (multiplicity 1)

Calculated values
N(E_F) in states/eV per cell: 2.8
Relative energy among the computed polymorphs in meV/atom: 0.0
Total moment in μB/f.u.: 0.0

---

Here is CuSb2Pb after structural relaxation from the Alexandria database. Energies are from GGA-PBE.

abc: 4.831 4.831 4.354
angles: 90.00 90.00 90.00
Space group P4/mmm (No. 123)
Unique sites:
Cu: 0.000 0.000 0.000 (multiplicity 1)
Sb: 0.000 0.500 0.500 (multiplicity 2)
Pb: 0.500 0.500 0.000 (multiplicity 1)

Calculated values
E in eV/atom: -3.671
N(E_F) in states/eV per cell: 1.9
Total moment in μB/f.u.: 0.0

---

Here is CuSbPb2 after structural relaxation from the Alexandria database. Energies are from GGA-PBE.

abc: 4.880 4.880 4.438
angles: 90.00 90.00 90.00
Space group P4/mmm (No. 123)
Unique sites:
Cu: 0.000 0.000 0.000 (multiplicity 1)
Sb: 0.500 0.500 0.000 (multiplicity 1)
Pb: 0.000 0.500 0.500 (multiplicity 2)

Calculated values
E in eV/atom: -3.634
N(E_F) in states/eV per cell: 1.4
Total moment in μB/f.u.: 0.0

---

Here is CuSb2Pb after structural relaxation from the Alexandria database. Energies are from GGA-PBE.

abc: 3.485 3.485 8.147
angles: 90.00 90.00 90.00
Space group P4/mmm (No. 123)
Unique sites:
Cu: 0.000 0.000 0.000 (multiplicity 1)
Sb: 0.500 0.500 0.191 (multiplicity 2)
Pb: 0.000 0.000 0.500 (multiplicity 1)

Calculated values
E in eV/atom: -3.820
N(E_F) in states/eV per cell: 2.9
Total moment in μB/f.u.: 0.0

---

Here is Cu2SbPb after structural relaxation from the Alexandria database. Energies are from GGA-PBE.

abc: 3.909 4.119 5.359
angles: 90.00 110.92 90.00
Space group Pm (No. 6)
Unique sites:
Cu: 0.000 0.000 0.000 (multiplicity 1)
Cu: 0.140 0.500 0.292 (multiplicity 1)
Sb: 0.442 0.500 0.880 (multiplicity 1)
Pb: 0.713 0.000 0.445 (multiplicity 1)

Calculated values
E in eV/atom: -3.885
N(E_F) in states/eV per cell: 1.6
Total moment in μB/f.u.: 0.0

---

Here is Cu2Sb5Pb5 after structural relaxation from the Alexandria database. Energies are from GGA-PBE.

abc: 13.535 4.534 13.598
angles: 90.00 118.82 90.00
Space group C2/m (No. 12)
Unique sites:
Cu: 0.147 0.000 0.258 (multiplicity 4)
Sb: 0.000 0.000 0.500 (multiplicity 2)
Sb: 0.070 0.000 0.866 (multiplicity 4)
Sb: 0.249 0.000 0.680 (multiplicity 4)
Pb: 0.000 0.500 0.000 (multiplicity 2)
Pb: 0.036 0.500 0.354 (multiplicity 4)
Pb: 0.237 0.500 0.870 (multiplicity 4)

Calculated values
E in eV/atom: -3.834
N(E_F) in states/eV per cell: 8.4
Total moment in μB/f.u.: 0.0

---

Here is Cu2SbPb after structural relaxation from the Alexandria database. Energies are from GGA-PBE.

abc: 4.761 4.761 16.690
angles: 90.00 90.00 90.00
Space group I-42d (No. 122)
Unique sites:
Cu: 0.155 0.250 0.125 (multiplicity 8)
Sb: 0.000 0.000 0.000 (multiplicity 4)
Pb: 0.000 0.000 0.500 (multiplicity 4)

Calculated values
E in eV/atom: -3.777
N(E_F) in states/eV per cell: 4.6
Total moment in μB/f.u.: 0.0

---

Here is CuSb4Pb after structural relaxation from the Alexandria database. Energies are from GGA-PBE.

abc: 8.821 8.821 8.821
angles: 90.00 90.00 90.00
Space group F-43m (No. 216)
Unique sites:
Cu: 0.000 0.000 0.000 (multiplicity 4)
Sb: 0.125 0.125 0.375 (multiplicity 16)
Pb: 0.250 0.250 0.750 (multiplicity 4)

Calculated values
E in eV/atom: -3.599
N(E_F) in states/eV per cell: 5.5
Total moment in μB/f.u.: 0.0

---

Here is CuSbPb2 after structural relaxation from the Alexandria database. Energies are from GGA-PBE.

abc: 5.564 3.423 6.042
angles: 90.00 112.42 90.00
Space group P2/m (No. 10)
Unique sites:
Cu: 0.000 0.000 0.000 (multiplicity 1)
Sb: 0.000 0.500 0.500 (multiplicity 1)
Pb: 0.500 0.000 0.500 (multiplicity 1)
Pb: 0.500 0.500 0.000 (multiplicity 1)

Calculated values
E in eV/atom: -3.583
N(E_F) in states/eV per cell: 1.3
Total moment in μB/f.u.: 0.0

---

Here is CuSb2Pb after structural relaxation from the Alexandria database. Energies are from GGA-PBE.

abc: 4.408 4.408 10.507
angles: 90.00 90.00 90.00
Space group I4/mmm (No. 139)
Unique sites:
Cu: 0.000 0.000 0.000 (multiplicity 2)
Sb: 0.000 0.500 0.250 (multiplicity 4)
Pb: 0.000 0.000 0.500 (multiplicity 2)

Calculated values
E in eV/atom: -3.678
N(E_F) in states/eV per cell: 3.9
Total moment in μB/f.u.: 0.0